Entry from Alexandria: an optimized crystal structure of Er6Bi2Sb (PBE).

Cell lengths 6.3832, 8.2612, 11.9069 Å; angles 90.00, 120.45, 90.00 degrees
With the nearest neighbours (Å) after each atom.
Positions (direct):
Er: 0.0685 0.1992 0.4478  1 Sb 2.99, 3 Bi 3.16-3.32
Er: 0.0685 0.3008 0.9478  1 Sb 2.99, 3 Bi 3.16-3.32
Er: 0.3157 0.6600 0.4481  1 Sb 2.99, 2 Bi 3.13-3.26, 1 Er 3.33
Er: 0.3157 0.8400 0.9481  1 Sb 2.99, 2 Bi 3.13-3.26, 1 Er 3.33
Er: 0.3508 0.0322 0.2196  1 Sb 2.98, 2 Bi 3.20-3.22
Er: 0.3508 0.4678 0.7196  1 Sb 2.98, 2 Bi 3.20-3.22
Er: 0.6492 0.5322 0.2804  1 Sb 2.98, 2 Bi 3.20-3.22
Er: 0.6492 0.9678 0.7804  1 Sb 2.98, 2 Bi 3.20-3.22
Er: 0.6843 0.1600 0.0519  1 Sb 2.99, 2 Bi 3.13-3.26, 1 Er 3.33
Er: 0.6843 0.3400 0.5519  1 Sb 2.99, 2 Bi 3.13-3.26, 1 Er 3.33
Er: 0.9315 0.6992 0.0522  1 Sb 2.99, 3 Bi 3.16-3.32
Er: 0.9315 0.8008 0.5522  1 Sb 2.99, 3 Bi 3.16-3.32
Bi: 0.1534 0.1172 0.7414  7 Er 3.13-3.32
Bi: 0.1534 0.3828 0.2414  7 Er 3.13-3.32
Bi: 0.8466 0.6172 0.7586  7 Er 3.13-3.32
Bi: 0.8466 0.8828 0.2586  7 Er 3.13-3.32
Sb: 0.5000 0.0000 0.5000  6 Er 2.98-2.99
Sb: 0.5000 0.5000 0.0000  6 Er 2.98-2.99

Properties
Formation energy (no corrections) ... -0.51 eV per atom